Computed, not measured: a relaxed structure of CeTh2Mn at the PBE level of DFT.

Structure (POSCAR):
```
CeTh2Mn
1.0
3.5796 0.0000 0.0000
0.0000 3.5796 0.0000
0.0000 0.0000 8.0891
Ce Th Mn
1 2 1
direct
0.0000 0.0000 0.0000 Ce
0.5000 0.5000 0.2844 Th
0.5000 0.5000 0.7156 Th
0.0000 0.0000 0.5000 Mn
```

Properties
Formation energy ... 0.120 eV per atom
Raw total energy ... -29.46 eV/cell
N(E_F) ... 6.3 states/eV per cell
V ... 25.91 Å³/atom
Space group ... P4/mmm (123)
Theoretical density ... 10.56 g cm⁻³


Computed, not measured: a relaxed structure of CeTh3Mn at the PBE level of DFT.

Structure (POSCAR):
```
CeTh3Mn
1.0
5.3055 0.0000 0.0000
0.0000 5.3055 0.0000
0.0000 0.0000 5.3055
Ce Th Mn
1 3 1
direct
0.0000 0.0000 0.0000 Ce
0.0000 0.5000 0.5000 Th
0.5000 0.0000 0.5000 Th
0.5000 0.5000 0.0000 Th
0.5000 0.5000 0.5000 Mn
```

Properties
Formation energy ... 0.203 eV per atom
Raw total energy ... -36.35 eV/cell
N(E_F) ... 13.1 states/eV per cell
V ... 29.87 Å³/atom
Space group ... Pm-3m (221)
Theoretical density ... 9.91 g cm⁻³


Computed, not measured: a relaxed structure of CeTh2Mn at the PBE level of DFT.

Structure (POSCAR):
```
CeTh2Mn
1.0
1.8561 1.0716 9.8921
-1.8561 1.0716 9.8921
0.0000 -2.1432 9.8921
Ce Th Mn
1 2 1
direct
0.0000 0.0000 0.0000 Ce
0.1128 0.1128 0.1128 Th
0.8872 0.8872 0.8872 Th
0.5000 0.5000 0.5000 Mn
```

Properties
Formation energy ... 0.473 eV per atom
Raw total energy ... -28.05 eV/cell
N(E_F) ... 9.9 states/eV per cell
V ... 29.51 Å³/atom
Space group ... R-3m (166)
Theoretical density ... 9.27 g cm⁻³


Computed, not measured: a relaxed structure of Ce2TiMn at the PBE level of DFT.

Structure (POSCAR):
```
Ce2TiMn
1.0
1.4727 0.8502 10.6867
-1.4727 0.8502 10.6867
0.0000 -1.7005 10.6867
Ce Ti Mn
2 1 1
direct
0.0860 0.0860 0.0860 Ce
0.9140 0.9140 0.9140 Ce
0.0000 0.0000 0.0000 Ti
0.5000 0.5000 0.5000 Mn
```

Properties
Formation energy ... 0.378 eV per atom
Raw total energy ... -27.42 eV/cell
N(E_F) ... 8.3 states/eV per cell
V ... 20.07 Å³/atom
Space group ... R-3m (166)
Theoretical density ... 7.92 g cm⁻³


Computed, not measured: a relaxed structure of CeTiMn4 at the PBE level of DFT.

Structure (POSCAR):
```
CeTiMn4
1.0
0.0000 3.5228 3.5228
3.5228 0.0000 3.5228
3.5228 3.5228 0.0000
Ce Ti Mn
1 1 4
direct
0.0000 0.0000 0.0000 Ce
0.2500 0.2500 0.2500 Ti
0.1271 0.6243 0.6243 Mn
0.6243 0.1271 0.6243 Mn
0.6243 0.6243 0.1271 Mn
0.6243 0.6243 0.6243 Mn
```

Properties
Formation energy ... 0.052 eV per atom
Raw total energy ... -50.19 eV/cell
N(E_F) ... 10.6 states/eV per cell
V ... 14.57 Å³/atom
Space group ... F-43m (216)
Theoretical density ... 7.74 g cm⁻³


Computed, not measured: a relaxed structure of CeTi2Mn at the PBE level of DFT.

Structure (POSCAR):
```
CeTi2Mn
1.0
1.4620 0.8441 9.3472
-1.4620 0.8441 9.3472
0.0000 -1.6881 9.3472
Ce Ti Mn
1 2 1
direct
0.0000 0.0000 0.0000 Ce
0.1024 0.1024 0.1024 Ti
0.8976 0.8976 0.8976 Ti
0.5000 0.5000 0.5000 Mn
```

Properties
Formation energy ... 0.147 eV per atom
Raw total energy ... -30.31 eV/cell
N(E_F) ... 4.8 states/eV per cell
V ... 17.30 Å³/atom
Space group ... R-3m (166)
Theoretical density ... 6.98 g cm⁻³


Q: Which value of formation energy does entry 3 give?
A: 0.473 eV per atom